Record 1
## AcNd2Sm4 (GGA-PBE)

Data for AcNd2Sm4 after structural relaxation.

Geometry as CIF:
```
data_AcNd2Sm4
_cell_length_a 9.4513
_cell_length_b 9.4513
_cell_length_c 5.8902
_cell_angle_alpha 90.00
_cell_angle_beta 90.00
_cell_angle_gamma 90.00
_space_group_name_H-M_alt 'P 42/m n m'
_space_group_IT_number 136
_space_group_name_Hall '-P 4n 2n'
loop_
_atom_site_label
_atom_site_type_symbol
_atom_site_fract_x
_atom_site_fract_y
_atom_site_fract_z
Ac1 Ac 0.0000 0.0000 0.0000
Nd1 Nd 0.1970 0.1970 0.5000
Sm1 Sm 0.1133 0.3739 0.0000
```



Record 2
## AgAs2Os (GGA-PBE)

Data for AgAs2Os after structural relaxation.

Geometry as CIF:
```
data_AgAs2Os
_cell_length_a 2.9280
_cell_length_b 4.7894
_cell_length_c 11.3757
_cell_angle_alpha 90.00
_cell_angle_beta 90.00
_cell_angle_gamma 90.00
_space_group_name_H-M_alt 'I m m m'
_space_group_IT_number 71
_space_group_name_Hall '-I 2 2'
loop_
_atom_site_label
_atom_site_type_symbol
_atom_site_fract_x
_atom_site_fract_y
_atom_site_fract_z
Ag1 Ag 0.0000 0.0000 0.0000
As1 As 0.0000 0.5000 0.1763
Os1 Os 0.0000 0.0000 0.5000
```



Record 3
## YAl3Ag (GGA-PBE)

Data for YAl3Ag after structural relaxation.

Geometry as CIF:
```
data_YAl3Ag
_cell_length_a 4.1694
_cell_length_b 4.1694
_cell_length_c 11.4372
_cell_angle_alpha 90.00
_cell_angle_beta 90.00
_cell_angle_gamma 90.00
_space_group_name_H-M_alt 'I 4 m m'
_space_group_IT_number 107
_space_group_name_Hall 'I 4 -2'
loop_
_atom_site_label
_atom_site_type_symbol
_atom_site_fract_x
_atom_site_fract_y
_atom_site_fract_z
Y1 Y 0.0000 0.0000 0.0000
Al1 Al 0.0000 0.0000 0.4081
Al2 Al 0.0000 0.5000 0.2633
Ag1 Ag 0.0000 0.0000 0.6260
```



Number 1: volume 37.6 Å³ per atom, E_form 0.20 eV per atom. Number 2: volume 19.9 Å³ per atom, E_form 0.35 eV per atom. Number 3: volume 19.9 Å³ per atom, E_form -0.37 eV per atom.